Below is an optimized crystal structure of Sm5Ag2Ir2, with properties calculated at the GGA-PBE level.

* energy above the lowest structure with this stoichiometry: 0.0 kJ/mol of formula units
* M_tot: 0.000 μB per formula unit

Unit cell a=7.8564 b=7.6834 c=8.7075 alpha=116.18 beta=90.00 gamma=90.00
With the nearest neighbours (Å) after each atom.
Fractional positions:
Sm (0.0000, 0.0000, 0.0000)  4 Ir 3.00-3.06, 2 Ag 3.29
Sm (0.5000, 0.5000, 0.0000)  4 Ir 3.00-3.06, 2 Ag 3.29
Sm (0.8305, 0.7910, 0.2463)  3 Ir 2.91-3.07, 3 Ag 3.18-3.20
Sm (0.1695, 0.4553, 0.2463)  3 Ir 2.91-3.07, 3 Ag 3.18-3.20
Sm (0.3305, 0.9553, 0.2463)  3 Ir 2.91-3.07, 3 Ag 3.18-3.20
Sm (0.6695, 0.2910, 0.2463)  3 Ir 2.91-3.07, 3 Ag 3.18-3.20
Sm (0.1695, 0.2090, 0.7537)  3 Ir 2.91-3.07, 3 Ag 3.18-3.20
Sm (0.8305, 0.5447, 0.7537)  3 Ir 2.91-3.07, 3 Ag 3.18-3.20
Sm (0.6695, 0.0447, 0.7537)  3 Ir 2.91-3.07, 3 Ag 3.18-3.20
Sm (0.3305, 0.7090, 0.7537)  3 Ir 2.91-3.07, 3 Ag 3.18-3.20
Ag (0.0000, 0.2102, 0.4204)  7 Sm 3.18-3.29
Ag (0.5000, 0.7102, 0.4204)  7 Sm 3.18-3.29
Ag (0.0000, 0.7898, 0.5796)  7 Sm 3.18-3.29
Ag (0.5000, 0.2898, 0.5796)  7 Sm 3.18-3.29
Ir (0.6328, 0.8665, 0.0000)  8 Sm 2.91-3.07, 1 Ir 2.93
Ir (0.3672, 0.1335, 0.0000)  8 Sm 2.91-3.07, 1 Ir 2.93
Ir (0.1328, 0.6335, 0.0000)  8 Sm 2.91-3.07, 1 Ir 2.93
Ir (0.8672, 0.3665, 0.0000)  8 Sm 2.91-3.07, 1 Ir 2.93



Below is an optimized crystal structure of CeSm6HoEr2, with properties calculated at the GGA-PBE level.

* M_tot: 1.478 μB per formula unit
* E: -4.55 eV/atom

Unit cell a=8.8196 b=6.9352 c=6.6471 alpha=121.44 beta=102.30 gamma=90.00
With the nearest neighbours (Å) after each atom.
Fractional positions:
Ce (0.0000, 0.5000, 0.0000)  6 Sm 3.47-3.60, 4 Er 3.81
Sm (0.4176, 0.6265, 0.2530)  7 Sm 3.52-3.90, 1 Ce 3.60, 2 Ho 3.89
Sm (0.2010, 0.0642, 0.6570)  2 Er 3.22-3.46, 2 Sm 3.27-3.55, 1 Ho 3.29, 1 Ce 3.47
Sm (0.7990, 0.4072, 0.3430)  2 Er 3.22-3.46, 2 Sm 3.27-3.55, 1 Ho 3.29, 1 Ce 3.47
Sm (0.2010, 0.5928, 0.6570)  2 Er 3.22-3.46, 2 Sm 3.27-3.55, 1 Ho 3.29, 1 Ce 3.47
Sm (0.7990, 0.9358, 0.3430)  2 Er 3.22-3.46, 2 Sm 3.27-3.55, 1 Ho 3.29, 1 Ce 3.47
Sm (0.5824, 0.3735, 0.7470)  7 Sm 3.52-3.90, 1 Ce 3.60, 2 Ho 3.89
Ho (0.5000, 0.0000, 0.0000)  4 Sm 3.29, 2 Er 3.34
Er (0.1671, 0.0899, 0.1797)  1 Er 3.14, 4 Sm 3.22-3.46, 1 Ho 3.34
Er (0.8329, 0.9101, 0.8203)  1 Er 3.14, 4 Sm 3.22-3.46, 1 Ho 3.34



Below is an optimized crystal structure of AcTlGaSn, with properties calculated at the GGA-PBE level.

* M_tot: 0.000 μB per formula unit
* E: -3.62 eV/atom

Unit cell a=5.4843 b=5.4843 c=5.4843 alpha=60.00 beta=60.00 gamma=60.00
With the nearest neighbours (Å) after each atom.
Fractional positions:
Ac (0.7500, 0.7500, 0.7500)  4 Tl 3.36, 4 Ga 3.36
Tl (0.5000, 0.5000, 0.5000)  4 Sn 3.36, 4 Ac 3.36
Ga (0.0000, 0.0000, 0.0000)  4 Ac 3.36, 4 Sn 3.36
Sn (0.2500, 0.2500, 0.2500)  4 Ga 3.36, 4 Tl 3.36



Below is an optimized crystal structure of Li3H4Ir, with properties calculated at the GGA-PBE level.

* energy above the lowest structure with this stoichiometry: 0.0 kJ/mol of formula units
* M_tot: 0.000 μB per formula unit

Unit cell a=3.9174 b=3.9143 c=8.0332 alpha=90.00 beta=90.00 gamma=90.00
With the nearest neighbours (Å) after each atom.
Fractional positions:
Li (0.5650, 0.7502, 0.0000)  4 H 1.96
Li (0.0644, 0.7500, 0.2500)  6 H 1.98-2.01
Li (0.5644, 0.2500, 0.2500)  6 H 1.98-2.01
Li (0.0650, 0.2498, 0.5000)  4 H 1.96
Li (0.5644, 0.2500, 0.7500)  6 H 1.98-2.01
Li (0.0644, 0.7500, 0.7500)  6 H 1.98-2.01
H (0.0646, 0.7512, 0.0000)  2 Ir 1.95-1.96, 4 Li 1.96-2.01
H (0.5641, 0.2503, 0.0000)  4 Li 1.96-2.01, 2 Ir 1.96
H (0.0642, 0.2501, 0.2121)  1 Ir 1.70
H (0.5642, 0.7499, 0.2879)  1 Ir 1.70
H (0.0641, 0.7497, 0.5000)  4 Li 1.96-2.01, 2 Ir 1.96
H (0.5646, 0.2488, 0.5000)  2 Ir 1.95-1.96, 4 Li 1.96-2.01
H (0.5642, 0.7499, 0.7121)  1 Ir 1.70
H (0.0642, 0.2501, 0.7879)  1 Ir 1.70
Ir (0.0644, 0.2500, 0.0000)  2 H 1.70
Ir (0.5644, 0.7500, 0.5000)  2 H 1.70



Below is an optimized crystal structure of Pm5Y12Er, with properties calculated at the GGA-PBE level.

* M_tot: 0.000 μB per formula unit
* E: -5.86 eV/atom

Unit cell a=15.2163 b=10.7626 c=5.0780 alpha=90.00 beta=90.00 gamma=45.07
With the nearest neighbours (Å) after each atom.
Fractional positions:
Pm (0.5000, 0.0000, 0.5000)  8 Y 3.59-3.60, 4 Pm 3.59
Pm (0.1655, 0.6689, 0.5000)  8 Y 3.57-3.61, 2 Er 3.58, 2 Pm 3.60
Pm (0.8345, 0.3311, 0.5000)  8 Y 3.57-3.61, 2 Er 3.58, 2 Pm 3.60
Pm (0.6669, 0.6661, 0.0000)  8 Y 3.59-3.60, 4 Pm 3.59-3.60
Pm (0.3331, 0.3339, 0.0000)  8 Y 3.59-3.60, 4 Pm 3.59-3.60
Y (0.8339, 0.0000, 0.4999)  2 Pm 3.57, 8 Y 3.58-3.59, 2 Er 3.58
Y (0.1661, 0.0000, 0.5001)  2 Pm 3.57, 8 Y 3.58-3.59, 2 Er 3.58
Y (0.6672, 0.0001, 0.9998)  8 Y 3.58-3.60, 4 Pm 3.59-3.60
Y (0.3328, 0.9999, 0.0002)  8 Y 3.58-3.60, 4 Pm 3.59-3.60
Y (0.3323, 0.6683, 0.0001)  8 Y 3.58-3.61, 1 Er 3.58, 3 Pm 3.59
Y (0.9995, 0.6682, 0.9999)  1 Er 3.58, 8 Y 3.58-3.61, 3 Pm 3.59
Y (0.0005, 0.3318, 0.0001)  1 Er 3.58, 8 Y 3.58-3.61, 3 Pm 3.59
Y (0.6678, 0.3317, 0.9999)  8 Y 3.58-3.61, 1 Er 3.58, 3 Pm 3.59
Y (0.5003, 0.3341, 0.4999)  8 Y 3.57-3.60, 4 Pm 3.60-3.61
Y (0.8344, 0.6659, 0.4999)  8 Y 3.57-3.60, 4 Pm 3.60
Y (0.1656, 0.3341, 0.5001)  8 Y 3.57-3.60, 4 Pm 3.60
Y (0.4997, 0.6659, 0.5001)  8 Y 3.57-3.60, 4 Pm 3.60-3.61
Er (0.0000, 0.0000, 0.0000)  8 Y 3.58, 4 Pm 3.58



Below is an optimized crystal structure of Tb8PrHo3, with properties calculated at the GGA-PBE level.

* M_tot: 0.000 μB per formula unit
* E: -4.30 eV/atom

Unit cell a=8.6556 b=8.6556 c=8.6556 alpha=97.52 beta=98.43 gamma=136.27
With the nearest neighbours (Å) after each atom.
Fractional positions:
Tb (0.5039, 0.2451, 0.2583)  6 Tb 3.16-3.43, 1 Ho 3.19, 1 Pr 3.32
Tb (0.4961, 0.7544, 0.7411)  6 Tb 3.16-3.43, 1 Ho 3.19, 1 Pr 3.32
Tb (0.0132, 0.7549, 0.2589)  6 Tb 3.16-3.43, 1 Ho 3.19, 1 Pr 3.32
Tb (0.9868, 0.2456, 0.7417)  6 Tb 3.16-3.43, 1 Ho 3.19, 1 Pr 3.32
Tb (0.1681, 0.2508, 0.4190)  6 Tb 3.38-3.72, 4 Ho 3.42-3.75, 1 Pr 3.44
Tb (0.8319, 0.2510, 0.0827)  6 Tb 3.38-3.72, 4 Ho 3.42-3.75, 1 Pr 3.44
Tb (0.1682, 0.7492, 0.9173)  6 Tb 3.38-3.72, 4 Ho 3.42-3.75, 1 Pr 3.44
Tb (0.8318, 0.7490, 0.5810)  6 Tb 3.38-3.72, 4 Ho 3.42-3.75, 1 Pr 3.44
Pr (0.0000, 0.0000, 0.0000)  8 Tb 3.32-3.44
Ho (0.5000, 0.7584, 0.2584)  10 Tb 3.74-4.19
Ho (0.5000, 0.2416, 0.7416)  10 Tb 3.74-4.19
Ho (0.0000, 0.5000, 0.5000)  8 Tb 3.19-3.42